Entry from Alexandria via LeMat-Bulk: Cs3NaHg2Cl8 after structural relaxation (GGA-PBE).

## Properties
Space group: No. 164
Final energy (eV per atom): -2.7591
ΔE_f (raw) (eV/atom): -1.384
Total moment (μB per formula unit): 0.00

Cell and atoms, written as POSCAR:
```
Cs3NaHg2Cl8
1.0
7.669 0.000 0.000
-3.834 6.641 0.000
0.000 0.000 9.950
Cs Na Hg Cl
3 1 2 8
direct
0.000 0.000 0.000 Cs
0.333 0.667 0.617 Cs
0.667 0.333 0.383 Cs
0.000 0.000 0.500 Na
0.333 0.667 0.199 Hg
0.667 0.333 0.801 Hg
0.163 0.326 0.321 Cl
0.163 0.837 0.321 Cl
0.326 0.163 0.679 Cl
0.333 0.667 0.955 Cl
0.667 0.333 0.045 Cl
0.674 0.837 0.321 Cl
0.837 0.163 0.679 Cl
0.837 0.674 0.679 Cl
```

---

Entry from Alexandria via LeMat-Bulk: CsNaHg2Cl6 after structural relaxation (GGA-PBE).

## Properties
Space group: No. 15
Final energy (eV per atom): -2.5131
ΔE_f (raw) (eV/atom): -1.128
Total moment (μB per formula unit): 0.00

Cell and atoms, written as POSCAR:
```
CsNaHg2Cl6
1.0
7.163 -7.408 0.000
7.163 7.408 0.000
-1.195 0.000 6.930
Cs Na Hg Cl
2 2 4 12
direct
0.144 0.856 0.750 Cs
0.856 0.144 0.250 Cs
0.427 0.573 0.250 Na
0.573 0.427 0.750 Na
0.188 0.378 0.841 Hg
0.378 0.188 0.341 Hg
0.622 0.812 0.659 Hg
0.812 0.622 0.159 Hg
0.061 0.184 0.702 Cl
0.184 0.061 0.202 Cl
0.185 0.593 0.022 Cl
0.321 0.426 0.529 Cl
0.407 0.815 0.478 Cl
0.426 0.321 0.029 Cl
0.574 0.679 0.971 Cl
0.593 0.185 0.522 Cl
0.679 0.574 0.471 Cl
0.815 0.407 0.978 Cl
0.816 0.939 0.798 Cl
0.939 0.816 0.298 Cl
```

---

Entry from Alexandria via LeMat-Bulk: Cs3Na2HgCl6 after structural relaxation (GGA-PBE).

## Properties
Space group: No. 164
Final energy (eV per atom): -2.8383
ΔE_f (raw) (eV/atom): -1.457
Total moment (μB per formula unit): 0.02

Cell and atoms, written as POSCAR:
```
Cs3Na2HgCl6
1.0
8.195 0.000 0.000
-4.097 7.097 0.000
0.000 0.000 8.745
Cs Na Hg Cl
3 2 1 6
direct
0.000 0.000 0.000 Cs
0.333 0.667 0.593 Cs
0.667 0.333 0.407 Cs
0.333 0.667 0.163 Na
0.667 0.333 0.837 Na
0.000 0.000 0.500 Hg
0.168 0.337 0.285 Cl
0.168 0.832 0.285 Cl
0.337 0.168 0.715 Cl
0.663 0.832 0.285 Cl
0.832 0.168 0.715 Cl
0.832 0.663 0.715 Cl
```

---

Entry from Alexandria via LeMat-Bulk: Cs3NaHg2Cl9 after structural relaxation (GGA-PBE).

## Properties
Space group: No. 164
Final energy (eV per atom): -2.6684
ΔE_f (raw) (eV/atom): -1.261
Total moment (μB per formula unit): 0.00

Cell and atoms, written as POSCAR:
```
Cs3NaHg2Cl9
1.0
7.606 0.000 0.000
-3.803 6.587 0.000
0.000 0.000 9.387
Cs Na Hg Cl
3 1 2 9
direct
0.000 0.000 0.000 Cs
0.333 0.667 0.660 Cs
0.667 0.333 0.340 Cs
0.000 0.000 0.500 Na
0.333 0.667 0.170 Hg
0.667 0.333 0.830 Hg
0.000 0.500 0.000 Cl
0.169 0.337 0.323 Cl
0.169 0.831 0.323 Cl
0.337 0.169 0.677 Cl
0.500 0.000 0.000 Cl
0.500 0.500 0.000 Cl
0.663 0.831 0.323 Cl
0.831 0.169 0.677 Cl
0.831 0.663 0.677 Cl
```

---

Entry from Alexandria via LeMat-Bulk: CsNa3Hg4Cl12 after structural relaxation (GGA-PBE).

## Properties
Space group: No. 155
Final energy (eV per atom): -2.4793
ΔE_f (raw) (eV/atom): -1.070
Total moment (μB per formula unit): 0.00

Cell and atoms, written as POSCAR:
```
CsNa3Hg4Cl12
1.0
7.501 4.331 3.512
-7.501 4.331 3.512
0.000 -8.662 3.512
Cs Na Hg Cl
1 3 4 12
direct
0.000 0.000 0.000 Cs
0.000 0.558 0.442 Na
0.442 0.000 0.558 Na
0.558 0.442 0.000 Na
0.060 0.500 0.940 Hg
0.500 0.500 0.500 Hg
0.500 0.940 0.060 Hg
0.940 0.060 0.500 Hg
0.068 0.665 0.777 Cl
0.102 0.898 0.500 Cl
0.223 0.335 0.932 Cl
0.335 0.932 0.223 Cl
0.337 0.663 0.500 Cl
0.500 0.102 0.898 Cl
0.500 0.337 0.663 Cl
0.663 0.500 0.337 Cl
0.665 0.777 0.068 Cl
0.777 0.068 0.665 Cl
0.898 0.500 0.102 Cl
0.932 0.223 0.335 Cl
```

---

Entry from Alexandria via LeMat-Bulk: CsNdHgCl6 after structural relaxation (GGA-PBE).

## Properties
Space group: No. 149
Final energy (eV per atom): -3.5544
ΔE_f (raw) (eV/atom): -1.665
Total moment (μB per formula unit): 0.00

Cell and atoms, written as POSCAR:
```
CsNdHgCl6
1.0
7.189 0.000 0.000
-3.594 6.225 0.000
0.000 0.000 7.671
Cs Nd Hg Cl
1 1 1 6
direct
0.000 0.000 0.000 Cs
0.333 0.667 0.500 Nd
0.667 0.333 0.500 Hg
0.385 0.003 0.708 Cl
0.385 0.382 0.292 Cl
0.618 0.003 0.292 Cl
0.618 0.615 0.708 Cl
0.997 0.382 0.708 Cl
0.997 0.615 0.292 Cl
```

---

Entry from Alexandria via LeMat-Bulk: CsNdHg2Cl8 after structural relaxation (GGA-PBE).

## Properties
Space group: No. 2
Final energy (eV per atom): -3.1143
ΔE_f (raw) (eV/atom): -1.364
Total moment (μB per formula unit): 0.00

Cell and atoms, written as POSCAR:
```
CsNdHg2Cl8
1.0
6.761 0.000 0.000
-1.108 7.072 0.000
-1.054 -3.634 8.907
Cs Nd Hg Cl
1 1 2 8
direct
0.000 0.000 0.000 Cs
0.000 0.500 0.500 Nd
0.467 0.305 0.777 Hg
0.533 0.695 0.223 Hg
0.132 0.531 0.249 Cl
0.221 0.873 0.679 Cl
0.324 0.300 0.536 Cl
0.435 0.730 0.991 Cl
0.565 0.270 0.009 Cl
0.676 0.700 0.464 Cl
0.779 0.127 0.321 Cl
0.868 0.469 0.751 Cl
```

---

Entry from Alexandria via LeMat-Bulk: Cs2NdHgCl6 after structural relaxation (GGA-PBE).

## Properties
Space group: No. 59
Final energy (eV per atom): -3.5352
ΔE_f (raw) (eV/atom): -1.750
Total moment (μB per formula unit): 0.00

Cell and atoms, written as POSCAR:
```
Cs2NdHgCl6
1.0
8.063 0.000 0.000
0.000 11.378 0.000
0.000 0.000 8.058
Cs Nd Hg Cl
4 2 2 12
direct
0.250 0.000 0.249 Cs
0.250 0.500 0.249 Cs
0.750 0.000 0.751 Cs
0.750 0.500 0.751 Cs
0.250 0.250 0.753 Nd
0.750 0.750 0.247 Nd
0.250 0.750 0.747 Hg
0.750 0.250 0.253 Hg
0.009 0.250 0.515 Cl
0.012 0.250 0.994 Cl
0.250 0.010 0.753 Cl
0.250 0.490 0.753 Cl
0.488 0.250 0.994 Cl
0.491 0.250 0.515 Cl
0.509 0.750 0.485 Cl
0.512 0.750 0.006 Cl
0.750 0.510 0.247 Cl
0.750 0.990 0.247 Cl
0.988 0.750 0.006 Cl
0.991 0.750 0.485 Cl
```

---

Entry from Alexandria via LeMat-Bulk: CsNiHgCl6 after structural relaxation (GGA-PBE).

## Properties
Space group: No. 5
Final energy (eV per atom): -2.8431
ΔE_f (raw) (eV/atom): -0.841
Total moment (μB per formula unit): 0.96

Cell and atoms, written as POSCAR:
```
CsNiHgCl6
1.0
3.504 -5.514 0.000
3.504 5.514 0.000
-0.513 0.000 7.641
Cs Ni Hg Cl
1 1 1 6
direct
0.000 0.000 0.000 Cs
0.672 0.328 0.500 Ni
0.321 0.679 0.500 Hg
0.396 0.343 0.327 Cl
0.407 0.039 0.697 Cl
0.657 0.604 0.673 Cl
0.658 0.036 0.329 Cl
0.961 0.593 0.303 Cl
0.964 0.342 0.671 Cl
```

---

Entry from Alexandria via LeMat-Bulk: Cs2NiHgCl6 after structural relaxation (GGA-PBE).

## Properties
Space group: No. 139
Final energy (eV per atom): -3.0504
ΔE_f (raw) (eV/atom): -1.163
Total moment (μB per formula unit): 0.14

Cell and atoms, written as POSCAR:
```
Cs2NiHgCl6
1.0
-3.756 3.756 5.378
3.756 -3.756 5.378
3.756 3.756 -5.378
Cs Ni Hg Cl
2 1 1 6
direct
0.250 0.750 0.500 Cs
0.750 0.250 0.500 Cs
0.000 0.000 0.000 Ni
0.500 0.500 0.000 Hg
0.209 0.209 0.417 Cl
0.209 0.791 0.000 Cl
0.279 0.279 0.000 Cl
0.721 0.721 0.000 Cl
0.791 0.209 0.000 Cl
0.791 0.791 0.583 Cl
```

---

Entry from Alexandria via LeMat-Bulk: Cs2NiHg2Cl4 after structural relaxation (GGA-PBE).

## Properties
Space group: No. 139
Final energy (eV per atom): -2.7669
ΔE_f (raw) (eV/atom): -1.047
Total moment (μB per formula unit): 0.00

Cell and atoms, written as POSCAR:
```
Cs2NiHg2Cl4
1.0
-3.928 3.928 4.780
3.928 -3.928 4.780
3.928 3.928 -4.780
Cs Ni Hg Cl
2 1 2 4
direct
0.250 0.750 0.500 Cs
0.750 0.250 0.500 Cs
0.000 0.000 0.000 Ni
0.326 0.326 0.000 Hg
0.674 0.674 0.000 Hg
0.200 0.200 0.400 Cl
0.200 0.800 0.000 Cl
0.800 0.200 0.000 Cl
0.800 0.800 0.600 Cl
```

---

Entry from Alexandria via LeMat-Bulk: Cs2NpHg2Cl6 after structural relaxation (GGA-PBE).

## Properties
Space group: No. 12
Final energy (eV per atom): -3.8886
ΔE_f (raw) (eV/atom): -1.495
Total moment (μB per formula unit): 3.00

Cell and atoms, written as POSCAR:
```
Cs2NpHg2Cl6
1.0
4.233 -7.474 0.000
4.233 7.474 0.000
-3.533 0.000 8.062
Cs Np Hg Cl
2 1 2 6
direct
0.168 0.832 0.000 Cs
0.832 0.168 0.000 Cs
0.500 0.500 0.000 Np
0.300 0.700 0.500 Hg
0.700 0.300 0.500 Hg
0.170 0.423 0.818 Cl
0.316 0.316 0.179 Cl
0.423 0.170 0.818 Cl
0.577 0.830 0.182 Cl
0.684 0.684 0.821 Cl
0.830 0.577 0.182 Cl
```